1.
Density functional theory data (SCAN) for a PBEsol-optimized structure of SrY4Se.

Unit cell a=9.2611 b=9.2611 c=9.2611 alpha=90.00 beta=90.00 gamma=90.00
With the nearest neighbours (Å) after each atom.
Space group F-43m (No. 216)
Inequivalent atoms, fractional coordinates:
Sr: 0.0000 0.0000 0.0000 x4  12 Y 3.84, 4 Se 4.01
Y: 0.1258 0.1258 0.3742 x16  6 Y 3.25-3.30
Se: 0.2500 0.2500 0.7500 x4  12 Y 3.84, 4 Sr 4.01

## Properties
DOS(E_F): 33.09 states/eV/cell
Energy: -25.327 eV/atom
Raw formation energy: 1.76 eV per formula unit

***

2.
Density functional theory data (SCAN) for a PBEsol-optimized structure of SrY2Se.

Unit cell a=3.7026 b=5.4194 c=11.6640 alpha=90.00 beta=90.00 gamma=90.00
With the nearest neighbours (Å) after each atom.
Space group Imm2 (No. 44)
Inequivalent atoms, fractional coordinates:
Sr: 0.0000 0.0000 0.0000 x2  2 Se 3.10
Y: 0.0000 0.0000 0.4002 x2  2 Se 2.86
Y: 0.0000 0.5000 0.1929 x2  4 Se 3.29, 2 Sr 3.52, 2 Y 3.63
Se: 0.0000 0.5000 0.7136 x2  2 Y 2.86, 2 Sr 3.10

## Properties
DOS(E_F): 7.22 states/eV/cell
Energy: -25.093 eV/atom
Raw formation energy: -2.33 eV per formula unit